1.
A relaxed structure of Hf3MnTl, computed with PBE.

Summary:
Crystal system   cubic
Total moment   0.00 μB per formula unit
DFT total energy   -7.922 eV per atom

Cell: 4.8183 4.8183 4.8183 Å, 90.00 90.00 90.00°
With the nearest neighbours (Å) after each atom.
Atoms (fractional coordinates):
Hf 0.0000 0.0000 0.5000  2 Mn 2.41
Hf 0.0000 0.5000 0.0000  2 Mn 2.41
Hf 0.5000 0.0000 0.0000  2 Mn 2.41
Tl 0.5000 0.5000 0.5000  12 Hf 3.41
Mn 0.0000 0.0000 0.0000  6 Hf 2.41

2.
A relaxed structure of Li2AcBi2Sb, computed with PBE.

Summary:
Raw formation energy   -0.45 eV per atom
Crystal system   tetragonal
Total moment   0.00 μB per formula unit
DFT total energy   -3.756 eV per atom

Cell: 4.7124 4.7124 9.3707 Å, 104.56 104.56 90.00°
With the nearest neighbours (Å) after each atom.
Atoms (fractional coordinates):
Li 0.8503 0.8503 0.7006  1 Sb 2.62
Li 0.1497 0.1497 0.2994  1 Sb 2.62
Bi 0.7500 0.2500 0.5000  4 Li 2.94
Bi 0.2500 0.7500 0.5000  4 Li 2.94
Sb 0.0000 0.0000 0.0000  2 Li 2.62
Ac 0.5000 0.5000 0.0000  4 Sb 3.33

3.
A relaxed structure of Zr5Ni, computed with PBE.

Summary:
Crystal system   hexagonal
Total moment   0.00 μB per formula unit
DFT total energy   -7.287 eV per atom

Cell: 5.6923 5.6923 5.0847 Å, 90.00 90.00 120.00°
With the nearest neighbours (Å) after each atom.
Atoms (fractional coordinates):
Ni 0.0000 0.0000 0.0000  6 Zr 3.29
Zr 0.5000 0.0000 0.5000  8 Zr 2.85-3.03
Zr 0.5000 0.5000 0.5000  8 Zr 2.85-3.03
Zr 0.0000 0.5000 0.5000  8 Zr 2.85-3.03
Zr 0.6667 0.3333 0.0000  9 Zr 3.03-3.29, 3 Ni 3.29
Zr 0.3333 0.6667 0.0000  9 Zr 3.03-3.29, 3 Ni 3.29

4.
A relaxed structure of Y3PtS, computed with PBE.

Summary:
Raw formation energy   -0.75 eV per atom
Crystal system   cubic
Total moment   0.00 μB per formula unit
DFT total energy   -6.659 eV per atom

Cell: 5.0722 5.0722 5.0722 Å, 90.00 90.00 90.00°
With the nearest neighbours (Å) after each atom.
Atoms (fractional coordinates):
S 0.0000 0.0000 0.0000  6 Y 2.54
Y 0.0000 0.0000 0.5000  2 S 2.54
Y 0.0000 0.5000 0.0000  2 S 2.54
Y 0.5000 0.0000 0.0000  2 S 2.54
Pt 0.5000 0.5000 0.5000  12 Y 3.59

5.
A relaxed structure of RePt5, computed with PBE.

Summary:
Crystal system   orthorhombic
Total moment   0.00 μB per formula unit
DFT total energy   -7.153 eV per atom

Cell: 3.9614 3.9341 6.2812 Å, 108.25 90.00 90.00°
With the nearest neighbours (Å) after each atom.
Atoms (fractional coordinates):
Re 0.0000 0.0000 0.0000  12 Pt 2.74-2.79
Pt 0.0000 0.6597 0.3193  2 Re 2.74, 10 Pt 2.75-2.92
Pt 0.0000 0.3403 0.6807  2 Re 2.74, 10 Pt 2.75-2.92
Pt 0.5000 0.8366 0.6733  10 Pt 2.77-2.90, 2 Re 2.78
Pt 0.5000 0.5000 0.0000  8 Pt 2.75-2.77, 4 Re 2.79
Pt 0.5000 0.1634 0.3267  10 Pt 2.77-2.90, 2 Re 2.78

6.
A relaxed structure of LiLuThTl, computed with PBE.

Summary:
Crystal system   cubic
Total moment   0.00 μB per formula unit
DFT total energy   -4.065 eV per atom

Cell: 5.3130 5.3130 5.3130 Å, 60.00 60.00 60.00°
With the nearest neighbours (Å) after each atom.
Atoms (fractional coordinates):
Tl 0.5000 0.5000 0.5000  4 Th 3.25, 4 Lu 3.25
Li 0.0000 0.0000 0.0000  4 Th 3.25, 4 Lu 3.25
Th 0.7500 0.7500 0.7500  4 Tl 3.25, 4 Li 3.25
Lu 0.2500 0.2500 0.2500  4 Tl 3.25, 4 Li 3.25

7.
A relaxed structure of ScSiRh2, computed with PBE.

Summary:
Raw formation energy   -0.84 eV per atom
Crystal system   orthorhombic
Total moment   0.00 μB per formula unit
DFT total energy   -7.458 eV per atom

Cell: 3.0643 3.2451 6.8036 Å, 61.54 90.00 90.00°
With the nearest neighbours (Å) after each atom.
Atoms (fractional coordinates):
Si 0.5000 0.7500 0.7500  8 Rh 2.61
Sc 0.5000 0.2500 0.2500  8 Rh 2.77, 2 Si 2.99, 2 Sc 3.06
Rh 0.0000 0.4766 0.5238  4 Si 2.61, 1 Rh 2.71, 4 Sc 2.77
Rh 0.0000 0.0234 0.9762  4 Si 2.61, 1 Rh 2.71, 4 Sc 2.77

8.
A relaxed structure of Na5Zn, computed with PBE.

Summary:
Crystal system   orthorhombic
Total moment   0.00 μB per formula unit
DFT total energy   -1.250 eV per atom

Cell: 3.8484 5.6850 9.1681 Å, 108.06 90.00 90.00°
With the nearest neighbours (Å) after each atom.
Atoms (fractional coordinates):
Zn 0.0000 0.0000 0.0000  8 Na 3.08-3.43
Na 0.5000 0.1378 0.2756  2 Zn 3.08
Na 0.5000 0.5000 0.0000  4 Zn 3.43, 8 Na 3.68-3.72
Na 0.0000 0.3198 0.6397  12 Na 3.51-3.85
Na 0.0000 0.6802 0.3603  12 Na 3.51-3.85
Na 0.5000 0.8622 0.7244  2 Zn 3.08

9.
A relaxed structure of SrCaPt2, computed with PBE.

Summary:
Crystal system   orthorhombic
Total moment   0.00 μB per formula unit
DFT total energy   -4.764 eV per atom

Cell: 4.1201 4.4538 5.8523 Å, 90.00 110.54 90.00°
With the nearest neighbours (Å) after each atom.
Atoms (fractional coordinates):
Pt 0.1541 0.5000 0.8471  2 Pt 2.75
Pt 0.0062 0.0000 0.5515  2 Pt 2.75, 1 Sr 3.07
Sr 0.7264 0.0000 0.9919  7 Pt 3.07-3.17
Ca 0.4443 0.5000 0.4275  7 Pt 3.09-3.18

10.
A relaxed structure of PuAl3Co, computed with PBE.

Summary:
Crystal system   orthorhombic
Total moment   0.32 μB per formula unit
DFT total energy   -6.782 eV per atom

Cell: 3.5473 7.9948 11.1918 Å, 90.00 90.00 90.00°
With the nearest neighbours (Å) after each atom.
Atoms (fractional coordinates):
Al 0.2500 0.3535 0.2782  2 Co 2.39
Al 0.7500 0.6465 0.7218  2 Co 2.39
Al 0.2500 0.3934 0.7305  2 Co 2.36-2.41
Al 0.7500 0.6066 0.2695  2 Co 2.36-2.41
Al 0.2500 0.0692 0.4239  3 Co 2.42-2.47, 2 Al 2.70
Al 0.7500 0.4308 0.9239  3 Co 2.42-2.47, 2 Al 2.70
Al 0.2500 0.8535 0.2218  2 Co 2.39
Al 0.2500 0.8934 0.7695  2 Co 2.36-2.41
Al 0.7500 0.9308 0.5761  3 Co 2.42-2.47, 2 Al 2.70
Al 0.2500 0.5692 0.0761  3 Co 2.42-2.47, 2 Al 2.70
Al 0.7500 0.1465 0.7782  2 Co 2.39
Al 0.7500 0.1066 0.2305  2 Co 2.36-2.41
Pu 0.7500 0.4023 0.4993  2 Pu 2.36
Pu 0.7500 0.9023 0.0007  2 Pu 2.36
Pu 0.2500 0.5977 0.5007  2 Pu 2.36
Pu 0.2500 0.0977 0.9993  2 Pu 2.36
Co 0.7500 0.8709 0.3643  7 Al 2.36-2.47
Co 0.7500 0.3709 0.1357  7 Al 2.36-2.47
Co 0.2500 0.1291 0.6357  7 Al 2.36-2.47
Co 0.2500 0.6291 0.8643  7 Al 2.36-2.47

11.
A relaxed structure of Pr7Sm5, computed with PBE.

Summary:
Crystal system   monoclinic
Total moment   0.00 μB per formula unit
DFT total energy   -4.747 eV per atom

Cell: 3.6965 9.7800 12.4799 Å, 73.77 81.48 79.11°
With the nearest neighbours (Å) after each atom.
Atoms (fractional coordinates):
Sm 0.1676 0.1665 0.4983  6 Pr 3.63-3.70, 6 Sm 3.64-3.70
Sm 0.3064 0.6386 0.7487  4 Sm 3.64-3.70, 8 Pr 3.65-3.69
Sm 0.8324 0.8335 0.5017  6 Pr 3.63-3.70, 6 Sm 3.64-3.70
Sm 0.6936 0.3614 0.2513  4 Sm 3.64-3.70, 8 Pr 3.65-3.69
Sm 0.0000 0.0000 0.0000  10 Pr 3.66-3.69, 2 Sm 3.70
Pr 0.6399 0.9713 0.7488  7 Sm 3.63-3.69, 5 Pr 3.65-3.71
Pr 0.0278 0.6947 0.2498  4 Sm 3.66-3.69, 8 Pr 3.67-3.71
Pr 0.9722 0.3053 0.7502  4 Sm 3.66-3.69, 8 Pr 3.67-3.71
Pr 0.5000 0.5000 0.5000  6 Sm 3.65-3.70, 6 Pr 3.67-3.70
Pr 0.6670 0.6677 0.9983  7 Pr 3.65-3.70, 5 Sm 3.66-3.69
Pr 0.3330 0.3323 0.0017  7 Pr 3.65-3.70, 5 Sm 3.66-3.69
Pr 0.3601 0.0287 0.2512  7 Sm 3.63-3.69, 5 Pr 3.65-3.71

12.
A relaxed structure of RbTiCl5, computed with PBE.

Summary:
Raw formation energy   -1.68 eV per atom
Crystal system   orthorhombic
Total moment   0.00 μB per formula unit
DFT total energy   -4.267 eV per atom

Cell: 8.1508 7.3592 7.3592 Å, 49.85 56.37 56.37°
With the nearest neighbours (Å) after each atom.
Atoms (fractional coordinates):
Cl 0.3076 0.4644 0.9205  1 Ti 2.27
Cl 0.6924 0.0795 0.5356  1 Ti 2.27
Cl 0.7868 0.4186 0.5814  1 Ti 2.34
Cl 0.2132 0.4186 0.5814  1 Ti 2.34
Cl 0.5000 0.7917 0.2083  1 Ti 2.22
Rb 0.0000 0.9241 0.0759  6 Cl 3.39-3.59
Ti 0.5000 0.4340 0.5660  5 Cl 2.22-2.34